Compound: Gd2SbS
Source: Alexandria via LeMat-Bulk
Functional: PBE-GGA
Structure: relaxed

a = 4.188 Å, b = 4.188 Å, c = 7.306 Å
α = 73.35°, β = 73.35°, γ = 60.00°
Site moments in Bohr magnetons follow the coordinates.
Element x y z (fractional)
S 0.000 0.000 0.000  -0.03
Gd 0.258 0.258 0.225  6.90
Gd 0.742 0.742 0.775  6.90
Sb 0.500 0.500 0.500  -0.03

Computed properties:
The calculation puts the total energy at -42.7 eV per cell. The raw formation energy is -1.57 eV/atom. As for the density of states at the Fermi level: 2.3 states/eV/cell.